## Fe5O8F2 (PBE+U)

Data for a relaxed structure of Fe5O8F2.

Lattice parameters (Å, degrees): 4.781 15.043 4.817 90.00 95.80 90.00
Space group Pm (No. 6)
Unique sites:
Fe 0.000 0.000 0.000 x1
Fe 0.008 0.394 0.984 x2
Fe 0.437 0.290 0.559 x2
Fe 0.460 0.097 0.540 x2
Fe 0.463 0.500 0.602 x1
Fe 0.911 0.198 0.089 x2
O 0.147 0.299 0.240 x2
O 0.149 0.098 0.234 x2
O 0.280 0.000 0.718 x1
O 0.293 0.394 0.713 x2
O 0.632 0.198 0.368 x2
O 0.741 0.455 0.302 x2
O 0.759 0.297 0.851 x2
O 0.764 0.098 0.853 x2
O 0.822 0.500 0.816 x1
F 0.236 0.500 0.205 x1
F 0.253 0.194 0.743 x2
F 0.655 0.000 0.348 x1

Size of the total moment in μB per atom: 0.54
E in eV per atom: -6.101
DOS at the Fermi energy in states/eV per cell: 6.0